Entry 1:
A plane-wave DFT calculation with PBE-GGA was carried out for a relaxed structure of Nd2ErUAs4.

Geometry as POSCAR:
```
Nd2ErUAs4
1.0
7.2208 0.0000 0.0000
0.0000 4.1586 0.0000
-2.3743 0.0000 6.8376
Nd Er U As
2 1 1 4
Direct
0.0000 0.0000 0.0000
0.5000 0.5000 0.0000
0.0000 0.5000 0.5000
0.5000 0.0000 0.5000
0.2483 0.0000 0.7353
0.2555 0.5000 0.2639
0.7445 0.5000 0.7361
0.7517 0.0000 0.2647
```

Calculated values
E_tot ... -54.48 eV/cell
Formation energy ... -1.31 eV per atom
Theoretical density ... 8035 kg/m3

=====

Entry 2:
A plane-wave DFT calculation with PBE-GGA was carried out for a relaxed structure of NdY3Er2As6.

Geometry as POSCAR:
```
NdY3Er2As6
1.0
3.5823 -6.2039 0.0000
3.5823 6.2039 0.0000
-2.3877 0.0000 6.7554
Nd Y Er As
1 3 2 6
Direct
0.0000 0.0000 0.0000
0.1651 0.8349 0.5000
0.5000 0.5000 0.5000
0.8349 0.1651 0.5000
0.3329 0.6671 0.0000
0.6671 0.3329 0.0000
0.0838 0.4235 0.2513
0.2564 0.2564 0.7498
0.4235 0.0838 0.2513
0.5765 0.9162 0.7487
0.7436 0.7436 0.2502
0.9162 0.5765 0.7487
```

Calculated values
E_tot ... -79.54 eV/cell
Formation energy ... -1.53 eV per atom
Theoretical density ... 6609 kg/m3

=====

Entry 3:
A plane-wave DFT calculation with PBE-GGA was carried out for a relaxed structure of Nd2ErZrAs4.

Geometry as POSCAR:
```
Nd2ErZrAs4
1.0
7.1172 0.0000 0.0000
0.0000 4.1092 0.0000
-2.3562 0.0000 6.7337
Nd Er Zr As
2 1 1 4
Direct
0.0000 0.0000 0.0000
0.5000 0.5000 0.0000
0.0000 0.5000 0.5000
0.5000 0.0000 0.5000
0.2508 0.0000 0.7330
0.2625 0.5000 0.2705
0.7375 0.5000 0.7295
0.7492 0.0000 0.2670
```

Calculated values
E_tot ... -52.53 eV/cell
Formation energy ... -1.41 eV per atom
Theoretical density ... 7139 kg/m3

=====

Entry 4:
A plane-wave DFT calculation with PBE-GGA was carried out for a relaxed structure of Er2Ni12As7.

Geometry as POSCAR:
```
Er2Ni12As7
1.0
9.3552 0.0000 0.0000
-4.6776 8.1018 0.0000
0.0000 0.0000 3.8297
Er Ni As
2 12 7
Direct
0.0000 0.0000 0.0000
0.3333 0.6667 0.5000
0.0439 0.7592 0.5000
0.1056 0.3905 0.0000
0.2408 0.2847 0.5000
0.2849 0.8944 0.0000
0.3860 0.2046 0.0000
0.5516 0.1237 0.5000
0.5721 0.4484 0.5000
0.6095 0.7151 0.0000
0.7153 0.9561 0.5000
0.7954 0.1814 0.0000
0.8186 0.6140 0.0000
0.8763 0.4279 0.5000
0.0711 0.6198 0.0000
0.2588 0.0354 0.5000
0.3802 0.4513 0.0000
0.5487 0.9289 0.0000
0.6667 0.3333 0.0000
0.7766 0.7412 0.5000
0.9646 0.2234 0.5000
```

Calculated values
Energy relative to the lowest polymorph listed for this composition ... 0.0000 eV/atom
E_tot ... -122.21 eV/cell
Formation energy ... -0.53 eV per atom
Theoretical density ... 8943 kg/m3

=====

Entry 5:
A plane-wave DFT calculation with PBE-GGA was carried out for a relaxed structure of ErNiAs.

Geometry as POSCAR:
```
ErNiAs
1.0
3.7401 0.0000 0.0000
0.0000 10.1629 0.0000
0.0000 0.0000 5.5363
Er Ni As
4 4 4
Direct
0.0000 0.1906 0.2500
0.0000 0.8094 0.7500
0.5000 0.3094 0.7500
0.5000 0.6906 0.2500
0.0000 0.5000 0.0000
0.0000 0.5000 0.5000
0.5000 0.0000 0.0000
0.5000 0.0000 0.5000
0.0000 0.0951 0.7500
0.0000 0.9049 0.2500
0.5000 0.4049 0.2500
0.5000 0.5951 0.7500
```

Calculated values
E_tot ... -70.14 eV/cell
Formation energy ... -0.85 eV per atom
Theoretical density ... 9497 kg/m3

=====

Entry 6:
A plane-wave DFT calculation with PBE-GGA was carried out for a relaxed structure of ErNi4As2.

Geometry as POSCAR:
```
ErNi4As2
1.0
7.2220 0.0000 0.0000
0.0000 7.2220 0.0000
0.0000 0.0000 3.7775
Er Ni As
2 8 4
Direct
0.0000 0.0000 0.0000
0.5000 0.5000 0.5000
0.0887 0.3459 0.5000
0.1541 0.5887 0.0000
0.3459 0.0887 0.5000
0.4113 0.8459 0.0000
0.5887 0.1541 0.0000
0.6541 0.9113 0.5000
0.8459 0.4113 0.0000
0.9113 0.6541 0.5000
0.2180 0.7820 0.5000
0.2820 0.2820 0.0000
0.7180 0.7180 0.0000
0.7820 0.2180 0.5000
```

Calculated values
E_tot ... -82.82 eV/cell
Formation energy ... -0.63 eV per atom
Theoretical density ... 9303 kg/m3